{"formula": "SbOsF3", "functional": "PBE", "state": "optimized geometry", "cell": [[4.267, 0.000, 0.000], [0.000, 4.267, 0.000], [0.000, 0.000, 4.267]], "species": ["Sb", "Os", "F", "F", "F"], "fractional_positions": [[0.000, 0.000, 0.000], [0.500, 0.500, 0.500], [0.000, 0.500, 0.500], [0.500, 0.000, 0.500], [0.500, 0.500, 0.000]], "e_above_lowest_polymorph_ev_per_atom": 0.000, "volume_a3_per_cell": 78, "crystal_system": "cubic", "dos_at_fermi_per_ev_atom": 0.690}